1.
{
  "formula": "PrEr6Sc3",
  "functional": "PBE",
  "state": "optimized geometry",
  "relative_energy_kcal_per_mol_atoms": 0.000,
  "spacegroup": "P-1 (2)",
  "cell": [[3.473, 0.000, 0.000], [-1.734, 12.566, 0.000], [-0.005, -4.655, 13.485]],
  "species": ["Pr", "Pr", "Er", "Er", "Er", "Er", "Er", "Er", "Er", "Er", "Er", "Er", "Er", "Er", "Sc", "Sc", "Sc", "Sc", "Sc", "Sc"],
  "fractional_positions": [[0.217, 0.432, 0.301], [0.783, 0.568, 0.699], [0.029, 0.057, 0.684], [0.177, 0.357, 0.514], [0.273, 0.547, 0.909], [0.344, 0.686, 0.276], [0.406, 0.812, 0.699], [0.477, 0.954, 0.100], [0.523, 0.046, 0.900], [0.594, 0.188, 0.301], [0.656, 0.314, 0.724], [0.727, 0.453, 0.091], [0.823, 0.643, 0.486], [0.971, 0.943, 0.316], [0.101, 0.202, 0.099], [0.137, 0.273, 0.908], [0.439, 0.876, 0.495], [0.561, 0.124, 0.505], [0.863, 0.727, 0.092], [0.899, 0.798, 0.901]]
}

=====

2.
{
  "formula": "PrEr5Sc3",
  "functional": "PBE",
  "state": "optimized geometry",
  "spacegroup": "C2/m (12)",
  "cell": [[6.796, -5.331, 0.000], [6.796, 5.331, 0.000], [-6.001, 0.000, 8.429]],
  "species": ["Pr", "Pr", "Er", "Er", "Er", "Er", "Er", "Er", "Er", "Er", "Er", "Er", "Sc", "Sc", "Sc", "Sc", "Sc", "Sc"],
  "fractional_positions": [[0.236, 0.236, 0.329], [0.764, 0.764, 0.671], [0.152, 0.152, 0.593], [0.165, 0.636, 0.263], [0.281, 0.719, 0.000], [0.302, 0.302, 0.988], [0.364, 0.835, 0.737], [0.636, 0.165, 0.263], [0.698, 0.698, 0.012], [0.719, 0.281, 0.000], [0.835, 0.364, 0.737], [0.848, 0.848, 0.407], [0.000, 0.000, 0.000], [0.028, 0.028, 0.764], [0.428, 0.428, 0.741], [0.500, 0.500, 0.500], [0.572, 0.572, 0.259], [0.972, 0.972, 0.236]]
}

=====

| no. | ΔE_f (eV/atom) |
| --- | --- |
| 1 | 0.042 |
| 2 | 0.574 |